This record from the Alexandria database describes a relaxed structure of Na2TlHgO. The functional is PBE.

Lattice parameters (Å, degrees): 4.584 4.584 5.443 90.00 90.00 90.00
Fractional coordinates of all 5 atoms:
Na: 0.000 0.500 0.000
Na: 0.500 0.000 0.000
Tl: 0.000 0.000 0.500
Hg: 0.500 0.500 0.500
O: 0.000 0.000 0.000

## Properties
SG   No. 123
VASP energy   -2.685 eV/atom

This record from the Alexandria database describes a relaxed structure of Re3IF. The functional is PBE.

Lattice parameters (Å, degrees): 4.880 4.880 4.880 90.00 90.00 90.00
Fractional coordinates of all 5 atoms:
Re: 0.000 0.000 0.500
Re: 0.000 0.500 0.000
Re: 0.500 0.000 0.000
I: 0.000 0.000 0.000
F: 0.500 0.500 0.500

## Properties
SG   No. 221
Energy relative to the lowest polymorph listed for this composition   992 meV per atom

This record from the Alexandria database describes a relaxed structure of ZnMoAs2Se. The functional is PBE.

Lattice parameters (Å, degrees): 4.958 4.958 4.854 90.00 90.00 90.00
Fractional coordinates of all 5 atoms:
Zn: 0.000 0.000 0.000
Mo: 0.500 0.500 0.500
As: 0.000 0.500 0.500
As: 0.500 0.000 0.500
Se: 0.500 0.500 0.000

## Properties
SG   No. 123
Energy relative to the lowest polymorph listed for this composition   0 meV per atom

This record from the Alexandria database describes a relaxed structure of Pr3Ho5Se12. The functional is PBE.

Lattice parameters (Å, degrees): 14.735 14.735 14.735 109.47 109.47 109.47
Fractional coordinates of all 80 atoms:
Pr: 0.125 0.250 0.375
Pr: 0.125 0.375 0.750
Pr: 0.250 0.375 0.125
Pr: 0.250 0.875 0.625
Pr: 0.375 0.125 0.250
Pr: 0.375 0.750 0.125
Pr: 0.625 0.250 0.875
Pr: 0.625 0.875 0.750
Pr: 0.750 0.125 0.375
Pr: 0.750 0.625 0.875
Pr: 0.875 0.625 0.250
Pr: 0.875 0.750 0.625
Ho: 0.000 0.000 0.000
Ho: 0.000 0.000 0.500
Ho: 0.000 0.500 0.000
Ho: 0.000 0.500 0.500
Ho: 0.125 0.750 0.875
Ho: 0.125 0.875 0.250
Ho: 0.250 0.125 0.875
Ho: 0.250 0.625 0.375
Ho: 0.375 0.250 0.625
Ho: 0.375 0.625 0.750
Ho: 0.500 0.000 0.000
Ho: 0.500 0.000 0.500
Ho: 0.500 0.500 0.000
Ho: 0.500 0.500 0.500
Ho: 0.625 0.375 0.250
Ho: 0.625 0.750 0.375
Ho: 0.750 0.375 0.625
Ho: 0.750 0.875 0.125
Ho: 0.875 0.125 0.750
Ho: 0.875 0.250 0.125
Se: 0.045 0.220 0.129
Se: 0.045 0.325 0.916
Se: 0.084 0.629 0.409
Se: 0.084 0.955 0.675
Se: 0.091 0.720 0.675
Se: 0.091 0.871 0.416
Se: 0.129 0.045 0.220
Se: 0.129 0.584 0.909
Se: 0.175 0.220 0.591
Se: 0.175 0.455 0.584
Se: 0.220 0.129 0.045
Se: 0.220 0.591 0.175
Se: 0.280 0.325 0.909
Se: 0.280 0.455 0.371
Se: 0.325 0.909 0.280
Se: 0.325 0.916 0.045
Se: 0.371 0.280 0.455
Se: 0.371 0.591 0.916
Se: 0.409 0.084 0.629
Se: 0.409 0.825 0.780
Se: 0.416 0.091 0.871
Se: 0.416 0.825 0.545
Se: 0.455 0.371 0.280
Se: 0.455 0.584 0.175
Se: 0.545 0.416 0.825
Se: 0.545 0.629 0.720
Se: 0.584 0.175 0.455
Se: 0.584 0.909 0.129
Se: 0.591 0.175 0.220
Se: 0.591 0.916 0.371
Se: 0.629 0.409 0.084
Se: 0.629 0.720 0.545
Se: 0.675 0.084 0.955
Se: 0.675 0.091 0.720
Se: 0.720 0.545 0.629
Se: 0.720 0.675 0.091
Se: 0.780 0.409 0.825
Se: 0.780 0.871 0.955
Se: 0.825 0.545 0.416
Se: 0.825 0.780 0.409
Se: 0.871 0.416 0.091
Se: 0.871 0.955 0.780
Se: 0.909 0.129 0.584
Se: 0.909 0.280 0.325
Se: 0.916 0.045 0.325
Se: 0.916 0.371 0.591
Se: 0.955 0.675 0.084
Se: 0.955 0.780 0.871

## Properties
SG   No. 230
VASP energy   -5.678 eV/atom

This record from the Alexandria database describes a relaxed structure of TcNi2S. The functional is PBE.

Lattice parameters (Å, degrees): 5.593 5.593 5.476 90.42 90.42 36.01
Fractional coordinates of all 8 atoms:
Tc: 0.135 0.135 0.499
Tc: 0.865 0.865 0.501
Ni: 0.122 0.122 0.996
Ni: 0.492 0.492 0.256
Ni: 0.508 0.508 0.744
Ni: 0.878 0.878 0.004
S: 0.301 0.301 0.776
S: 0.699 0.699 0.224

## Properties
SG   No. 12
VASP energy   -6.622 eV/atom

This record from the Alexandria database describes a relaxed structure of BaHoTe. The functional is PBE.

Lattice parameters (Å, degrees): 10.090 10.090 4.746 76.40 76.39 27.21
Fractional coordinates of all 6 atoms:
Ba: 0.177 0.177 0.823
Ba: 0.823 0.823 0.177
Ho: 0.000 0.000 0.500
Ho: 0.500 0.500 0.000
Te: 0.385 0.385 0.615
Te: 0.615 0.615 0.385

## Properties
SG   No. 69
VASP energy   -4.110 eV/atom